(1)
# PBE Sr4PmZn5, optimized geometry
data_Sr4PmZn5
_chemical_formula_sum 'Sr4 Pm1 Zn5'
_symmetry_space_group_name_H-M 'P 4/m m m'
_symmetry_Int_Tables_number 123
_symmetry_space_group_name_Hall '-P 4 2'
_cell_length_a 3.8344
_cell_length_b 3.8344
_cell_length_c 19.4123
_cell_angle_alpha 90.00
_cell_angle_beta 90.00
_cell_angle_gamma 90.00
loop_
_atom_site_label
_atom_site_fract_x
_atom_site_fract_y
_atom_site_fract_z
Sr1 0.0000 0.0000 0.1028
Sr2 0.0000 0.0000 0.3074
Pm1 0.0000 0.0000 0.5000
Zn1 0.5000 0.5000 0.0000
Zn2 0.5000 0.5000 0.2045
Zn3 0.5000 0.5000 0.4155
# DFT formation energy: -0.205 eV per atom

=====

(2)
# PBE K2TlReCl8, optimized geometry
data_K2TlReCl8
_chemical_formula_sum 'K2 Tl1 Re1 Cl8'
_symmetry_space_group_name_H-M 'P -1'
_symmetry_Int_Tables_number 2
_cell_length_a 6.4855
_cell_length_b 6.9535
_cell_length_c 8.8729
_cell_angle_alpha 89.97
_cell_angle_beta 89.94
_cell_angle_gamma 87.54
loop_
_symmetry_equiv_pos_as_xyz
'x,y,z'
'-x,-y,-z'
loop_
_atom_site_label
_atom_site_fract_x
_atom_site_fract_y
_atom_site_fract_z
K1 0.0017 0.9997 0.2391
Tl1 0.5000 0.5000 0.5000
Re1 0.5000 0.5000 0.0000
Cl1 0.2330 0.8204 0.5007
Cl2 0.2848 0.3850 0.1910
Cl3 0.2859 0.3831 0.8095
Cl4 0.3081 0.7974 0.9988
# ΔE_f (raw): -1.088 eV per atom

=====

(3)
# PBE MgNi2Sb, optimized geometry
data_MgNi2Sb
_chemical_formula_sum 'Mg2 Ni4 Sb2'
_symmetry_space_group_name_H-M 'C 1 m 1'
_symmetry_Int_Tables_number 8
_cell_length_a 8.9445
_cell_length_b 3.4778
_cell_length_c 4.1409
_cell_angle_alpha 90.00
_cell_angle_beta 107.35
_cell_angle_gamma 90.00
loop_
_symmetry_equiv_pos_as_xyz
'x,y,z'
'x,-y,z'
'x+1/2,y+1/2,z'
'x+1/2,-y+1/2,z'
loop_
_atom_site_label
_atom_site_fract_x
_atom_site_fract_y
_atom_site_fract_z
Mg1 0.0000 0.0000 0.0000
Ni1 0.0032 0.5000 0.5017
Ni2 0.2429 0.5000 0.1672
Sb1 0.2362 0.0000 0.6513
# ΔE_f (raw): -0.149 eV per atom

=====

(4)
# PBE In2Ag2HgI6, optimized geometry
data_In2Ag2HgI6
_chemical_formula_sum 'In2 Ag2 Hg1 I6'
_symmetry_space_group_name_H-M 'P -1'
_symmetry_Int_Tables_number 2
_cell_length_a 7.6922
_cell_length_b 7.7093
_cell_length_c 10.4630
_cell_angle_alpha 71.31
_cell_angle_beta 69.09
_cell_angle_gamma 64.60
loop_
_symmetry_equiv_pos_as_xyz
'x,y,z'
'-x,-y,-z'
loop_
_atom_site_label
_atom_site_fract_x
_atom_site_fract_y
_atom_site_fract_z
In1 0.1106 0.4697 0.3619
Ag1 0.1469 0.8364 0.8377
Hg1 0.5000 0.0000 0.0000
I1 0.0637 0.2316 0.8540
I2 0.1255 0.1292 0.3085
I3 0.4921 0.5432 0.7201
# ΔE_f (raw): -0.304 eV per atom

=====

(5)
# PBE Pa2TlAgSe8, optimized geometry
data_Pa2TlAgSe8
_chemical_formula_sum 'Pa2 Tl1 Ag1 Se8'
_symmetry_space_group_name_H-M 'P -3 m 1'
_symmetry_Int_Tables_number 164
_symmetry_space_group_name_Hall '-P 3 2"'
_cell_length_a 6.3414
_cell_length_b 6.3414
_cell_length_c 9.0840
_cell_angle_alpha 90.00
_cell_angle_beta 90.00
_cell_angle_gamma 120.00
loop_
_atom_site_label
_atom_site_fract_x
_atom_site_fract_y
_atom_site_fract_z
Pa1 0.3333 0.6667 0.3839
Tl1 0.0000 0.0000 0.0000
Ag1 0.0000 0.0000 0.5000
Se1 0.1824 0.3648 0.6746
Se2 0.3333 0.6667 0.1003
# ΔE_f (raw): -0.574 eV per atom

=====

(6)
# PBE Sc2H3, optimized geometry
data_Sc2H3
_chemical_formula_sum 'Sc2 H3'
_symmetry_space_group_name_H-M 'P -4 m 2'
_symmetry_Int_Tables_number 115
_cell_length_a 3.3482
_cell_length_b 3.3482
_cell_length_c 4.7570
_cell_angle_alpha 90.00
_cell_angle_beta 90.00
_cell_angle_gamma 90.00
loop_
_symmetry_equiv_pos_as_xyz
'x,y,z'
'y,-x,-z'
'-x,-y,z'
'-y,x,-z'
'-x,y,z'
'-y,-x,-z'
'x,-y,z'
'y,x,-z'
loop_
_atom_site_label
_atom_site_fract_x
_atom_site_fract_y
_atom_site_fract_z
Sc1 0.0000 0.5000 0.2475
H1 0.0000 0.0000 0.0000
H2 0.0000 0.0000 0.5000
H3 0.5000 0.5000 0.0000
# Polymorph energy (0 for the lowest one): 0 meV per atom